A relaxed Na2GaPbF8 crystal. Source: the Alexandria database, functional PBE.

space group: No. 10
energy: -54.215 eV/f.u.

a b c (Å): 5.039 5.147 6.867
angles (deg): 90.00 90.00 92.24
Fractional positions:
F (0.266, 0.262, 0.000)
F (0.181, 0.821, 0.784)
F (0.734, 0.738, 0.000)
F (0.181, 0.821, 0.216)
F (0.819, 0.179, 0.784)
F (0.819, 0.179, 0.216)
F (0.313, 0.309, 0.500)
F (0.687, 0.691, 0.500)
Na (0.500, 0.500, 0.772)
Na (0.500, 0.500, 0.228)
Pb (0.000, 0.000, 0.500)
Ga (0.000, 0.000, 0.000)

=====

A relaxed Na2GaPdF6 crystal. Source: the Alexandria database, functional PBE.

space group: No. 2
energy: -44.741 eV/f.u.

a b c (Å): 6.321 5.303 6.352
angles (deg): 61.00 52.03 60.63
Last column: magnetic moment on the atom in μB.
Fractional positions:
F (0.472, 0.630, 0.719)  0.04
F (0.485, 0.319, 0.210)  0.00
F (0.986, 0.637, 0.205)  0.04
F (0.647, 0.995, 0.898)  0.04
F (0.160, 0.003, 0.384)  0.04
F (0.147, 0.314, 0.893)  0.00
Na (0.577, 0.589, 0.307)  0.00
Na (0.055, 0.043, 0.795)  0.00
Pd (0.816, 0.816, 0.551)  0.85
Ga (0.316, 0.316, 0.052)  0.01

=====

A relaxed Na2PmGaF8 crystal. Source: the Alexandria database, functional PBE.

space group: No. 10
energy: -63.077 eV/f.u.

a b c (Å): 5.006 5.194 6.849
angles (deg): 90.00 90.00 90.98
Fractional positions:
F (0.176, 0.816, 0.781)
F (0.731, 0.749, 0.000)
F (0.176, 0.816, 0.219)
F (0.269, 0.251, 0.000)
F (0.824, 0.184, 0.219)
F (0.824, 0.184, 0.781)
F (0.323, 0.295, 0.500)
F (0.677, 0.705, 0.500)
Na (0.500, 0.500, 0.771)
Na (0.500, 0.500, 0.229)
Pm (0.000, 0.000, 0.500)
Ga (0.000, 0.000, 0.000)

=====

A relaxed Na2PuGaF8 crystal. Source: the Alexandria database, functional PBE.

space group: No. 10
energy: -70.872 eV/f.u.

a b c (Å): 4.748 5.317 6.971
angles (deg): 90.00 90.00 91.31
Last column: magnetic moment on the atom in μB.
Fractional positions:
F (0.710, 0.759, 0.000)  0.00
F (0.356, 0.275, 0.500)  -0.01
F (0.290, 0.241, 0.000)  0.00
F (0.168, 0.812, 0.785)  -0.01
F (0.644, 0.725, 0.500)  -0.01
F (0.832, 0.188, 0.785)  -0.01
F (0.168, 0.812, 0.215)  -0.01
F (0.832, 0.188, 0.215)  -0.01
Pu (0.000, 0.000, 0.500)  5.01
Na (0.500, 0.500, 0.771)  0.00
Na (0.500, 0.500, 0.229)  0.00
Ga (0.000, 0.000, 0.000)  0.01

=====

A relaxed Rb2NaGa3F12 crystal. Source: the Alexandria database, functional PBE.

space group: No. 166
energy: -84.336 eV/f.u.

a b c (Å): 7.344 7.344 7.344
angles (deg): 61.03 61.03 61.03
Fractional positions:
Ga (0.000, 0.000, 0.500)
Ga (0.000, 0.500, 0.000)
Ga (0.500, 0.000, 0.000)
F (0.299, 0.299, 0.913)
F (0.384, 0.902, 0.902)
F (0.902, 0.384, 0.902)
F (0.098, 0.098, 0.616)
F (0.098, 0.616, 0.098)
F (0.701, 0.701, 0.087)
F (0.616, 0.098, 0.098)
F (0.701, 0.087, 0.701)
F (0.087, 0.701, 0.701)
F (0.902, 0.902, 0.384)
F (0.299, 0.913, 0.299)
F (0.913, 0.299, 0.299)
Na (0.000, 0.000, 0.000)
Rb (0.374, 0.374, 0.374)
Rb (0.626, 0.626, 0.626)

=====

A relaxed RbNa2GaF6 crystal. Source: the Alexandria database, functional PBE.

space group: No. 146
energy: -45.374 eV/f.u.
offset from the most stable computed form: 0.000 eV/atom

a b c (Å): 5.867 5.867 6.268
angles (deg): 62.09 62.08 59.99
Fractional positions:
F (0.686, 0.181, 0.788)
F (0.346, 0.686, 0.788)
F (0.975, 0.535, 0.215)
F (0.275, 0.975, 0.215)
F (0.535, 0.275, 0.215)
F (0.181, 0.345, 0.788)
Rb (0.800, 0.800, 0.600)
Na (0.011, 0.011, 0.968)
Na (0.528, 0.528, 0.417)
Ga (0.326, 0.326, 0.022)

=====

A relaxed Rb3Na2GaF9 crystal. Source: the Alexandria database, functional PBE.

space group: No. 164
energy: -64.464 eV/f.u.

a b c (Å): 6.060 6.060 7.677
angles (deg): 90.00 90.00 120.00
Last column: magnetic moment on the atom in μB.
Fractional positions:
F (0.699, 0.850, 0.355)  0.04
F (0.850, 0.699, 0.645)  0.04
F (0.150, 0.301, 0.355)  0.04
F (0.850, 0.150, 0.645)  0.04
F (0.000, 0.500, 0.000)  0.27
F (0.301, 0.150, 0.645)  0.04
F (0.150, 0.850, 0.355)  0.04
F (0.500, 0.500, 0.000)  0.27
F (0.500, 0.000, 0.000)  0.27
Ga (0.000, 0.000, 0.500)  0.00
Rb (0.000, 0.000, 0.000)  0.00
Rb (0.667, 0.333, 0.323)  0.00
Rb (0.333, 0.667, 0.677)  0.00
Na (0.667, 0.333, 0.808)  0.00
Na (0.333, 0.667, 0.192)  0.00

=====

A relaxed RbNaGaF6 crystal. Source: the Alexandria database, functional PBE.

space group: No. 149
energy: -38.304 eV/f.u.

a b c (Å): 5.840 5.840 5.633
angles (deg): 90.02 89.99 59.96
Last column: magnetic moment on the atom in μB.
Fractional positions:
F (0.594, 0.051, 0.308)  0.16
F (0.052, 0.355, 0.308)  0.16
F (0.593, 0.355, 0.692)  0.16
F (0.355, 0.593, 0.308)  0.16
F (0.051, 0.594, 0.691)  0.16
F (0.355, 0.052, 0.692)  0.16
Rb (0.000, 0.000, 0.000)  0.00
Ga (0.333, 0.333, 0.500)  -0.01
Na (0.667, 0.667, 0.500)  0.00

=====

A relaxed Rb2NaGaF6 crystal. Source: the Alexandria database, functional PBE.

space group: No. 225
energy: -45.785 eV/f.u.

a b c (Å): 6.047 6.047 6.047
angles (deg): 60.00 60.00 60.00
Fractional positions:
F (0.773, 0.773, 0.227)
F (0.227, 0.773, 0.227)
F (0.773, 0.227, 0.773)
F (0.227, 0.773, 0.773)
F (0.227, 0.227, 0.773)
F (0.773, 0.227, 0.227)
Rb (0.250, 0.250, 0.250)
Rb (0.750, 0.750, 0.750)
Ga (0.000, 0.000, 0.000)
Na (0.500, 0.500, 0.500)

=====

A relaxed RbNa2GaF6 crystal. Source: the Alexandria database, functional PBE.

space group: No. 225
energy: -43.558 eV/f.u.
offset from the most stable computed form: 0.182 eV/atom

a b c (Å): 6.355 6.355 6.355
angles (deg): 60.00 60.00 60.00
Fractional positions:
F (0.213, 0.213, 0.787)
F (0.213, 0.787, 0.213)
F (0.213, 0.787, 0.787)
F (0.787, 0.213, 0.213)
F (0.787, 0.787, 0.213)
F (0.787, 0.213, 0.787)
Rb (0.500, 0.500, 0.500)
Ga (0.000, 0.000, 0.000)
Na (0.750, 0.750, 0.750)
Na (0.250, 0.250, 0.250)

=====

A relaxed NaGaSiF6 crystal. Source: the Alexandria database, functional PBE.

space group: No. 149
energy: -45.966 eV/f.u.

a b c (Å): 5.559 5.559 5.195
angles (deg): 90.01 89.99 59.96
Fractional positions:
F (0.339, 0.585, 0.310)
F (0.585, 0.339, 0.690)
F (0.076, 0.585, 0.690)
F (0.077, 0.339, 0.310)
F (0.339, 0.077, 0.690)
F (0.585, 0.076, 0.310)
Na (0.667, 0.667, 0.500)
Si (0.333, 0.333, 0.500)
Ga (0.000, 0.000, 0.000)

=====

A relaxed NaGaSnF6 crystal. Source: the Alexandria database, functional PBE.

space group: No. 149
energy: -42.681 eV/f.u.

a b c (Å): 5.576 5.576 5.016
angles (deg): 90.01 89.99 59.98
Fractional positions:
F (0.047, 0.621, 0.718)
F (0.332, 0.047, 0.718)
F (0.047, 0.332, 0.282)
F (0.621, 0.047, 0.282)
F (0.332, 0.621, 0.282)
F (0.621, 0.332, 0.718)
Sn (0.000, 0.000, 0.000)
Na (0.667, 0.667, 0.500)
Ga (0.333, 0.333, 0.500)

=====

Number 1: formation energy (no corrections) -2.49 eV/atom. Number 2: formation energy (no corrections) -2.27 eV/atom. Number 3: formation energy (no corrections) -3.14 eV/atom. Number 4: formation energy (no corrections) -2.99 eV/atom. Number 5: formation energy (no corrections) -2.75 eV/atom. Number 6: formation energy (no corrections) -2.75 eV/atom. Number 7: formation energy (no corrections) -2.60 eV/atom. Number 8: formation energy (no corrections) -2.42 eV/atom. Number 9: formation energy (no corrections) -2.83 eV/atom. Number 10: formation energy (no corrections) -2.57 eV/atom. Number 11: formation energy (no corrections) -2.77 eV/atom. Number 12: formation energy (no corrections) -2.57 eV/atom.